w.
# Cs2FeCuBr6

Crystalline Cs2FeCuBr6 at its relaxed geometry (GGA-PBE, Alexandria via LeMat-Bulk).

Cell: 13.259 13.259 13.259 Å, 33.39 33.39 33.39°
Positions (direct):
Cs  0.123  0.123  0.123
Cs  0.293  0.293  0.293
Cs  0.707  0.707  0.707
Cs  0.877  0.877  0.877
Fe  0.415  0.415  0.415
Fe  0.585  0.585  0.585
Cu  0.000  0.000  0.000
Cu  0.500  0.500  0.500
Br  0.143  0.613  0.613
Br  0.210  0.210  0.704
Br  0.210  0.704  0.210
Br  0.296  0.790  0.790
Br  0.387  0.387  0.857
Br  0.387  0.857  0.387
Br  0.613  0.143  0.613
Br  0.613  0.613  0.143
Br  0.704  0.210  0.210
Br  0.790  0.296  0.790
Br  0.790  0.790  0.296
Br  0.857  0.387  0.387

Computed properties:
The calculation puts the total magnetization at 9.39 Bohr magnetons per cell. The density of states at the Fermi level is 13.0 states/eV per cell.


x.
# Cs2FeCuBr6

Crystalline Cs2FeCuBr6 at its relaxed geometry (GGA-PBE, Alexandria via LeMat-Bulk).

Cell: 7.628 7.628 7.628 Å, 118.29 118.29 92.98°
Positions (direct):
Cs  0.250  0.750  0.500
Cs  0.750  0.250  0.500
Fe  0.000  0.000  0.000
Cu  0.500  0.500  0.000
Br  0.227  0.227  0.453
Br  0.227  0.773  0.000
Br  0.276  0.276  0.000
Br  0.724  0.724  0.000
Br  0.773  0.227  0.000
Br  0.773  0.773  0.547

Computed properties:
The calculation puts the total magnetization at 4.44 Bohr magnetons per cell. The density of states at the Fermi level is 12.7 states/eV per cell.


Calculated relative energies: w 0; x 14, given in meV/atom


w.
# Cs2MnCuBr6

Crystalline Cs2MnCuBr6 at its relaxed geometry (GGA-PBE, Alexandria via LeMat-Bulk).

Cell: 7.752 7.752 7.752 Å, 118.92 118.92 91.89°
Positions (direct):
Cs  0.250  0.750  0.500
Cs  0.750  0.250  0.500
Mn  0.000  0.000  0.000
Cu  0.500  0.500  0.000
Br  0.221  0.221  0.443
Br  0.221  0.779  0.000
Br  0.285  0.285  0.000
Br  0.715  0.715  0.000
Br  0.779  0.221  0.000
Br  0.779  0.779  0.557

Computed properties:
The calculation puts the total magnetization at 4.00 Bohr magnetons per cell. The density of states at the Fermi level is 0.0 states/eV per cell.


x.
# Cs2MnCuBr6

Crystalline Cs2MnCuBr6 at its relaxed geometry (GGA-PBE, Alexandria via LeMat-Bulk).

Cell: 7.696 7.696 6.397 Å, 90.00 90.00 120.00°
Positions (direct):
Cs  0.333  0.667  0.249
Cs  0.667  0.333  0.751
Mn  0.000  0.000  0.500
Cu  0.000  0.000  0.000
Br  0.158  0.316  0.747
Br  0.158  0.842  0.747
Br  0.316  0.158  0.253
Br  0.684  0.842  0.747
Br  0.842  0.158  0.253
Br  0.842  0.684  0.253

Computed properties:
The calculation puts the total magnetization at 3.96 Bohr magnetons per cell. The density of states at the Fermi level is 7.0 states/eV per cell.


Calculated relative energies: w 0; x 5, given in meV/atom


w.
# Cs2PrCuBr6

Crystalline Cs2PrCuBr6 at its relaxed geometry (GGA-PBE, Alexandria via LeMat-Bulk).

Cell: 8.022 8.022 6.692 Å, 90.00 90.00 120.00°
Positions (direct):
Cs  0.333  0.667  0.264
Cs  0.667  0.333  0.736
Pr  0.000  0.000  0.000
Cu  0.000  0.000  0.500
Br  0.165  0.330  0.733
Br  0.165  0.835  0.733
Br  0.330  0.165  0.267
Br  0.670  0.835  0.733
Br  0.835  0.165  0.267
Br  0.835  0.670  0.267

Computed properties:
The calculation puts the total magnetization at 0.11 Bohr magnetons per cell. The density of states at the Fermi level is 0.0 states/eV per cell.


x.
# Cs2PrCuBr6

Crystalline Cs2PrCuBr6 at its relaxed geometry (GGA-PBE, Alexandria via LeMat-Bulk).

Cell: 7.968 7.968 7.968 Å, 60.00 60.00 60.00°
Positions (direct):
Cs  0.250  0.250  0.250
Cs  0.750  0.750  0.750
Pr  0.000  0.000  0.000
Cu  0.500  0.500  0.500
Br  0.259  0.259  0.741
Br  0.259  0.741  0.259
Br  0.259  0.741  0.741
Br  0.741  0.259  0.259
Br  0.741  0.259  0.741
Br  0.741  0.741  0.259

Computed properties:
The calculation puts the total magnetization at 0.03 Bohr magnetons per cell. The density of states at the Fermi level is 0.0 states/eV per cell.


Calculated relative energies: w 0; x 15, given in meV/atom


w.
# CsDyBr4

Crystalline CsDyBr4 at its relaxed geometry (GGA-PBE, Alexandria via LeMat-Bulk).

Cell: 9.104 9.104 7.447 Å, 95.86 95.86 51.24°
Positions (direct):
Cs  0.205  0.205  0.249
Cs  0.795  0.795  0.751
Dy  0.466  0.466  0.717
Dy  0.534  0.534  0.283
Br  0.182  0.618  0.421
Br  0.256  0.744  0.000
Br  0.308  0.308  0.812
Br  0.382  0.818  0.579
Br  0.618  0.182  0.421
Br  0.692  0.692  0.188
Br  0.744  0.256  0.000
Br  0.818  0.382  0.579

Computed properties:
The calculation puts the total magnetization at 0.00 Bohr magnetons per cell. The density of states at the Fermi level is 0.0 states/eV per cell.


x.
# CsDyBr4

Crystalline CsDyBr4 at its relaxed geometry (GGA-PBE, Alexandria via LeMat-Bulk).

Cell: 9.483 9.483 7.916 Å, 105.10 105.10 43.86°
Positions (direct):
Cs  0.186  0.814  0.750
Cs  0.814  0.186  0.250
Dy  0.000  0.500  0.000
Dy  0.500  0.000  0.500
Br  0.128  0.270  0.661
Br  0.270  0.128  0.161
Br  0.277  0.528  0.061
Br  0.472  0.723  0.439
Br  0.528  0.277  0.561
Br  0.723  0.472  0.939
Br  0.730  0.872  0.839
Br  0.872  0.730  0.339

Computed properties:
The calculation puts the total magnetization at 0.00 Bohr magnetons per cell. The density of states at the Fermi level is 0.0 states/eV per cell.


Calculated relative energies: w 32; x 0, given in meV/atom


w.
# CsBrF6

Crystalline CsBrF6 at its relaxed geometry (GGA-PBE, Alexandria via LeMat-Bulk).

Cell: 5.427 5.427 5.427 Å, 96.86 96.86 96.86°
Positions (direct):
Cs  0.000  0.000  0.000
Br  0.500  0.500  0.500
F  0.222  0.290  0.579
F  0.290  0.579  0.222
F  0.421  0.778  0.710
F  0.579  0.222  0.290
F  0.710  0.421  0.778
F  0.778  0.710  0.421

Computed properties:
The calculation puts the total magnetization at 0.00 Bohr magnetons per cell. The density of states at the Fermi level is 0.0 states/eV per cell.


x.
# CsBrF6

Crystalline CsBrF6 at its relaxed geometry (GGA-PBE, Alexandria via LeMat-Bulk).

Cell: 6.300 6.300 6.300 Å, 55.42 55.42 55.42°
Positions (direct):
Cs  0.000  0.000  0.000
Br  0.500  0.500  0.500
F  0.125  0.584  0.584
F  0.416  0.416  0.875
F  0.416  0.875  0.416
F  0.584  0.125  0.584
F  0.584  0.584  0.125
F  0.875  0.416  0.416

Computed properties:
The calculation puts the total magnetization at 0.00 Bohr magnetons per cell. The density of states at the Fermi level is 0.0 states/eV per cell.


Calculated relative energies: w 0; x 7, given in meV/atom


w.
# CsBrF

Crystalline CsBrF at its relaxed geometry (GGA-PBE, Alexandria via LeMat-Bulk).

Cell: 10.502 10.502 10.502 Å, 155.76 155.76 34.54°
Positions (direct):
Cs  0.169  0.169  0.000
Cs  0.831  0.831  0.000
Br  0.440  0.440  0.000
Br  0.560  0.560  0.000
F  0.316  0.316  0.000
F  0.684  0.684  0.000

Computed properties:
The calculation puts the total magnetization at 0.00 Bohr magnetons per cell. The density of states at the Fermi level is 0.0 states/eV per cell.


x.
# CsBrF

Crystalline CsBrF at its relaxed geometry (GGA-PBE, Alexandria via LeMat-Bulk).

Cell: 8.786 8.786 5.163 Å, 90.38 90.38 35.01°
Positions (direct):
Cs  0.177  0.177  0.248
Cs  0.823  0.823  0.752
Br  0.486  0.486  0.250
Br  0.514  0.514  0.750
F  0.253  0.253  0.750
F  0.747  0.747  0.250

Computed properties:
The calculation puts the total magnetization at 0.39 Bohr magnetons per cell. The density of states at the Fermi level is 10.6 states/eV per cell.


y.
# CsBrF

Crystalline CsBrF at its relaxed geometry (GGA-PBE, Alexandria via LeMat-Bulk).

Cell: 4.378 4.378 4.886 Å, 90.00 90.55 90.00°
Positions (direct):
Cs  0.000  0.000  0.000
Br  0.500  0.500  0.500
F  0.500  0.500  0.000

Computed properties:
The calculation puts the total magnetization at 0.00 Bohr magnetons per cell. The density of states at the Fermi level is 1.4 states/eV per cell.


z.
# CsBrF

Crystalline CsBrF at its relaxed geometry (GGA-PBE, Alexandria via LeMat-Bulk).

Cell: 5.122 5.122 4.900 Å, 90.00 90.00 120.00°
Positions (direct):
Cs  0.000  0.000  0.000
Br  0.333  0.667  0.500
F  0.333  0.667  0.000

Computed properties:
The calculation puts the total magnetization at 0.00 Bohr magnetons per cell. The density of states at the Fermi level is 1.4 states/eV per cell.


Calculated relative energies: w 0; x 109; y 191; z 202, given in meV/atom